# 1
The following is a DFT calculation (GGA-PBE) of a relaxed SrIn2Sb crystal.

Summary:
crystal system = tetragonal
energy relative to the elements, uncorrected = -0.360 eV per atom
M_tot = 0.00 μB/atom
space group = P4mm (99)

Geometry as CIF:
```
data_SrIn2Sb
_symmetry_space_group_name_H-M 'P 1'
_symmetry_Int_Tables_number 1
_cell_length_a 4.108
_cell_length_b 4.109
_cell_length_c 7.152
_cell_angle_alpha 90.00
_cell_angle_beta 90.00
_cell_angle_gamma 90.00
loop_
_symmetry_equiv_pos_as_xyz
'x,y,z'
loop_
_atom_site_label
_atom_site_fract_x
_atom_site_fract_y
_atom_site_fract_z
In1 0.000 0.000 0.040
In2 0.500 0.500 0.252
Sb1 0.000 0.000 0.466
Sr1 0.500 0.500 0.742
```


# 2
The following is a DFT calculation (GGA-PBE) of a relaxed AgTeOs2 crystal.

Summary:
crystal system = tetragonal
energy relative to the elements, uncorrected = 0.586 eV per atom
M_tot = 0.00 μB/atom
space group = P4mm (99)

Geometry as CIF:
```
data_AgTeOs2
_symmetry_space_group_name_H-M 'P 1'
_symmetry_Int_Tables_number 1
_cell_length_a 2.922
_cell_length_b 2.922
_cell_length_c 8.685
_cell_angle_alpha 90.00
_cell_angle_beta 90.00
_cell_angle_gamma 90.00
loop_
_symmetry_equiv_pos_as_xyz
'x,y,z'
loop_
_atom_site_label
_atom_site_fract_x
_atom_site_fract_y
_atom_site_fract_z
Te1 0.000 0.000 0.467
Os1 0.000 0.000 0.030
Os2 0.500 0.500 0.212
Ag1 0.500 0.500 0.791
```


# 3
The following is a DFT calculation (GGA-PBE) of a relaxed K3Cd2In3 crystal.

Summary:
crystal system = orthorhombic
energy of formation from the pure elements = -46 meV/atom
M_tot = 0.00 μB/atom
space group = Cmcm (63)

Geometry as CIF:
```
data_K3Cd2In3
_symmetry_space_group_name_H-M 'P 1'
_symmetry_Int_Tables_number 1
_cell_length_a 5.720
_cell_length_b 6.469
_cell_length_c 16.421
_cell_angle_alpha 90.00
_cell_angle_beta 90.00
_cell_angle_gamma 116.24
loop_
_symmetry_equiv_pos_as_xyz
'x,y,z'
loop_
_atom_site_label
_atom_site_fract_x
_atom_site_fract_y
_atom_site_fract_z
K1 0.663 0.326 0.038
K2 0.337 0.674 0.538
K3 0.663 0.326 0.462
K4 0.337 0.674 0.962
K5 0.509 0.019 0.250
K6 0.491 0.981 0.750
Cd1 0.782 0.563 0.663
Cd2 0.218 0.437 0.163
Cd3 0.782 0.563 0.837
Cd4 0.218 0.437 0.337
In1 0.977 0.954 0.091
In2 0.023 0.046 0.591
In3 0.977 0.954 0.409
In4 0.023 0.046 0.909
In5 0.821 0.641 0.250
In6 0.179 0.359 0.750
```


Q: M_tot of number 3 (K3Cd2In3)?
A: 0.00 μB/atom


Q: Look up the M_tot of the third one.
A: 0.00 μB/atom


Q: Which formula does entry 3 have?
A: K3Cd2In3